one) DFT (PBE) results for a relaxed ScCrBr2 crystal.

Geometry as POSCAR:
```
ScCrBr2
1.0
7.6974 0.6456 -0.0653
4.8173 6.0382 0.0653
-5.7709 -4.2527 2.8779
Br Sc Cr
2 1 1
direct
0.8904 0.8904 0.0000
0.6096 0.6096 0.0000
0.7500 0.2500 0.5000
0.2500 0.7500 0.5000
```

Space group = Immm

---

two) DFT (PBE) results for a relaxed ScCrBr2 crystal.

Geometry as POSCAR:
```
ScCrBr2
1.0
4.3464 0.0000 0.0000
0.0000 3.6160 -0.1023
0.0000 -0.0965 5.9632
Cr Sc Br
1 1 2
direct
0.5000 0.2500 0.2500
0.5000 0.7500 0.7500
0.0000 0.0040 0.0043
0.0000 0.4960 0.4957
```

Space group = P2/m

---

three) DFT (PBE) results for a relaxed ScCrBr2 crystal.

Geometry as POSCAR:
```
ScCrBr2
1.0
5.0978 0.0000 0.0000
2.5489 4.4149 0.0000
2.5489 1.4716 4.1624
Br Cr Sc
2 1 1
direct
0.0000 0.0000 0.0000
0.2500 0.2500 0.2500
0.5000 0.5000 0.5000
0.7500 0.7500 0.7500
```

Space group = F-43m

---

four) DFT (PBE) results for a relaxed ScCrBr2 crystal.

Geometry as POSCAR:
```
ScCrBr2
1.0
-7.2786 -2.7868 -5.8333
-4.5626 -3.9370 -7.6455
-5.8765 -5.8625 -5.0862
Cr Br Sc
1 2 1
direct
0.4993 0.4993 0.4993
0.2198 0.2198 0.2198
0.0248 0.0248 0.0248
0.7561 0.7561 0.7561
```

Space group = R3m

---

Energetically preferred structure: four) | next structure: +94 meV per atom